! La2MgP4Ir3, optimized geometry, DFT PBE; values from VASP
&SYSTEM
  ibrav = 0, nat = 10, ntyp = 4
/
ATOMIC_SPECIES
La 138.91 La.upf
Mg 24.30 Mg.upf
P 30.97 P.upf
Ir 192.22 Ir.upf
CELL_PARAMETERS angstrom
-1.4389 3.0425 2.6258
-1.7154 -2.9872 2.5213
8.3672 -0.4727 5.1328
ATOMIC_POSITIONS crystal
La 0.0000 0.5000 0.7641
Mg 0.5000 0.5000 0.5000
P 0.0000 0.5000 0.3554
P 0.5000 0.5000 0.0000
P 0.0000 0.0000 0.0000
Ir 0.0000 0.0000 0.5000
Ir 0.5000 0.0000 0.8937
La 0.5000 0.0000 0.2359
Ir 0.0000 0.5000 0.1063
P 0.5000 0.0000 0.6446
! **Electronic total energy**: -6.967 eV/atom
! **DOS(E_F)**: 0.467 states/eV per atom
! **Energy of formation from the pure elements**: -1.000 eV/atom